# LiMo2Rh

An optimized crystal structure of LiMo2Rh (PBE, the Alexandria database).

The structure in extended XYZ format:
```
4
Lattice="-4.054 1.570 -2.824 -2.784 -0.809 -4.298 -3.477 -2.248 0.631" Properties=species:S:1:pos:R:3 pbc="T T T"
Li -2.579 -0.372 -1.623
Mo -3.491 -2.236 0.600
Mo -5.143 -0.756 -3.213
Rh -7.736 -1.115 -4.868
```

Output
**V**: 58 Å³/cell
**SG**: No. 71
**Energy above the lowest structure with this stoichiometry**: 0.0 kJ/mol of atoms
**Magnetic moment**: 0.00 μB per formula unit
**Formation energy from the elements**: 52.5 meV/atom

# LiMo2Rh

An optimized crystal structure of LiMo2Rh (PBE, the Alexandria database).

The structure in extended XYZ format:
```
4
Lattice="-1.146 4.538 -0.191 -4.504 -1.161 -0.558 -0.337 0.027 2.663" Properties=species:S:1:pos:R:3 pbc="T T T"
Li -2.420 -0.567 1.053
Mo 0.000 0.000 0.000
Mo -2.825 1.689 -0.374
Rh -0.741 2.283 1.236
```

Output
**V**: 59 Å³/cell
**SG**: No. 123
**Energy above the lowest structure with this stoichiometry**: 33.7 kJ/mol of atoms
**Magnetic moment**: 0.00 μB per formula unit
**Formation energy from the elements**: 401.3 meV/atom

# LiMoRh2

An optimized crystal structure of LiMoRh2 (PBE, the Alexandria database).

The structure in extended XYZ format:
```
4
Lattice="4.303 0.000 0.000 2.152 3.727 0.000 2.152 1.242 3.513" Properties=species:S:1:pos:R:3 pbc="T T T"
Li 4.303 2.484 1.757
Mo 2.152 1.242 0.878
Rh 0.000 0.000 0.000
Rh 6.455 3.727 2.635
```

Output
**V**: 56 Å³/cell
**SG**: No. 216
**Energy above the lowest structure with this stoichiometry**: 37.0 kJ/mol of atoms
**Magnetic moment**: 0.00 μB per formula unit
**Formation energy from the elements**: 191.1 meV/atom

# Li3MoRh

An optimized crystal structure of Li3MoRh (PBE, the Alexandria database).

The structure in extended XYZ format:
```
5
Lattice="-1.046 3.401 -2.335 -4.106 -1.093 0.247 -0.402 2.313 3.550" Properties=species:S:1:pos:R:3 pbc="T T T"
Mo -2.777 2.310 0.731
Rh 0.000 0.000 0.000
Li -2.053 -0.547 0.124
Li -0.201 1.156 1.775
Li -0.523 1.701 -1.167
```

Output
**V**: 77 Å³/cell
**SG**: No. 221
**Energy above the lowest structure with this stoichiometry**: 0.0 kJ/mol of atoms
**Magnetic moment**: 0.00 μB per formula unit
**Formation energy from the elements**: 1080.4 meV/atom